[1]
Here is a relaxed Rb3NaH crystal from the Alexandria database. Energies are from GGA-PBE.

Unit cell a=6.2738 b=6.2738 c=6.2738 alpha=90.00 beta=90.00 gamma=90.00
Element x y z (fractional)
Rb1 0.0000 0.0000 0.5000
Rb2 0.5000 0.0000 0.0000
Rb3 0.0000 0.5000 0.0000
H1 0.0000 0.0000 0.0000
Na1 0.5000 0.5000 0.5000

Values from the calculation:
The total energy is -1.513 eV/atom. Its volume is 49.39 Å³ per atom. Its symmetry is Pm-3m (221).

***

[2]
Here is a relaxed RbNaH crystal from the Alexandria database. Energies are from GGA-PBE.

Unit cell a=3.8849 b=7.7735 c=13.9043 alpha=90.00 beta=90.11 gamma=90.00
Element x y z (fractional)
H1 0.4099 0.5000 0.6669
H2 0.4106 0.5000 0.1666
H3 0.4099 0.0000 0.1669
H4 0.4106 0.0000 0.6666
Na1 0.4106 0.0000 0.5064
Na2 0.4049 0.0000 0.0068
Na3 0.4049 0.5000 0.5068
Na4 0.4106 0.5000 0.0064
Rb1 0.9111 0.2501 0.2324
Rb2 0.9111 0.2499 0.7324
Rb3 0.9111 0.7499 0.2324
Rb4 0.9111 0.7501 0.7324

Values from the calculation:
The energy above the most stable polymorph in this dataset comes out at 44.8 meV/atom. Its volume is 34.99 Å³ per atom. Its symmetry is Cm (8).

***

[3]
Here is a relaxed RbNa3H crystal from the Alexandria database. Energies are from GGA-PBE.

Unit cell a=5.6235 b=5.6235 c=5.6235 alpha=90.00 beta=90.00 gamma=90.00
Element x y z (fractional)
Rb1 0.5000 0.5000 0.5000
Na1 0.0000 0.5000 0.0000
Na2 0.0000 0.0000 0.5000
Na3 0.5000 0.0000 0.0000
H1 0.0000 0.0000 0.0000

Values from the calculation:
The total energy is -1.483 eV/atom. Its volume is 35.57 Å³ per atom. Its symmetry is Pm-3m (221).

***

[4]
Here is a relaxed RbNaH crystal from the Alexandria database. Energies are from GGA-PBE.

Unit cell a=3.9463 b=7.2253 c=7.5625 alpha=99.73 beta=90.38 gamma=105.49
Element x y z (fractional)
Na1 0.2200 0.5577 0.0350
Na2 0.9012 0.9130 0.3071
H1 0.3156 0.7401 0.3779
H2 0.0265 0.1593 0.5302
Rb1 0.6665 0.4436 0.4778
Rb2 0.4625 0.0238 0.7584

Values from the calculation:
The energy above the most stable polymorph in this dataset comes out at 38.6 meV/atom. Its volume is 34.08 Å³ per atom. Its symmetry is P1 (1).

***

[5]
Here is a relaxed Rb3NaH4 crystal from the Alexandria database. Energies are from GGA-PBE.

Unit cell a=5.7929 b=5.7929 c=5.7929 alpha=90.00 beta=90.00 gamma=90.00
Element x y z (fractional)
Rb1 0.0000 0.0000 0.5000
Rb2 0.0000 0.5000 0.0000
Rb3 0.5000 0.0000 0.0000
H1 0.5000 0.5000 0.0000
H2 0.5000 0.0000 0.5000
H3 0.0000 0.0000 0.0000
H4 0.0000 0.5000 0.5000
Na1 0.5000 0.5000 0.5000

Values from the calculation:
The energy above the most stable polymorph in this dataset comes out at 12.6 meV/atom. Its volume is 24.30 Å³ per atom. Its symmetry is Pm-3m (221).

***

[6]
Here is a relaxed RbNaH2 crystal from the Alexandria database. Energies are from GGA-PBE.

Unit cell a=3.7210 b=3.7210 c=6.9037 alpha=74.37 beta=74.37 gamma=60.00
Element x y z (fractional)
Rb1 0.4982 0.4982 0.5053
H1 0.2634 0.2634 0.2097
H2 0.0703 0.0703 0.7890
Na1 0.6680 0.6680 0.9961

Values from the calculation:
The energy above the most stable polymorph in this dataset comes out at 66.5 meV/atom. Its volume is 19.67 Å³ per atom. Its symmetry is R3m (160).

***

volume of number 6 (RbNaH2)?
19.67 Å³ per atom